AcAg3, single point on PBEsol structure, DFT meta-GGA SCAN; energy of formation from the pure elements = -0.21 eV/atom; space group = No. 194; M_tot = 0.00 μB per formula unit; theoretical density = 9.65 Mg/m³
1.0
6.756 0.000 0.000
-3.378 5.851 0.000
0.000 0.000 4.794
Ac Ag
2 6
Direct
0.333 0.667 0.250 Ac
0.667 0.333 0.750 Ac
0.140 0.279 0.750 Ag
0.140 0.860 0.750 Ag
0.279 0.140 0.250 Ag
0.721 0.860 0.750 Ag
0.860 0.140 0.250 Ag
0.860 0.721 0.250 Ag

AcAgAu2, single point on PBEsol structure, DFT meta-GGA SCAN; energy of formation from the pure elements = -0.66 eV/atom; space group = No. 225; M_tot = 0.00 μB per formula unit; theoretical density = 13.08 Mg/m³
1.0
7.179 0.000 0.000
0.000 7.179 0.000
0.000 0.000 7.179
Ac Ag Au
4 4 8
Direct
0.000 0.000 0.000 Ac
0.000 0.500 0.500 Ac
0.500 0.000 0.500 Ac
0.500 0.500 0.000 Ac
0.000 0.000 0.500 Ag
0.000 0.500 0.000 Ag
0.500 0.000 0.000 Ag
0.500 0.500 0.500 Ag
0.250 0.250 0.250 Au
0.250 0.250 0.750 Au
0.250 0.750 0.250 Au
0.250 0.750 0.750 Au
0.750 0.250 0.250 Au
0.750 0.250 0.750 Au
0.750 0.750 0.250 Au
0.750 0.750 0.750 Au

- What is the theoretical density in the second record?
  13.08 Mg/m³